# 1
Here is LuNiAg2 after structural relaxation from the Open Quantum Materials Database. Energies are from PBE-GGA.

```
LuNiAg2
1.0
2.325 1.343 3.797
-2.325 1.343 3.797
0.000 -2.685 3.797
Ag Ni Lu
2 1 1
Direct
0.500 0.500 0.500
0.750 0.750 0.750
0.000 0.000 0.000
0.250 0.250 0.250
```

Summary:
SG: No. 216
Total magnetic moment: 0.00 μB per formula unit
Formation energy from the elements: -17.2 kJ per mole of atoms
Volume: 71.1 Å³ per cell

# 2
Here is LuNiAg after structural relaxation from the Open Quantum Materials Database. Energies are from PBE-GGA.

```
LuNiAg
1.0
0.000 3.196 3.196
3.196 0.000 3.196
3.196 3.196 0.000
Ag Lu Ni
1 1 1
Direct
0.250 0.250 0.250
0.000 0.000 0.000
0.750 0.750 0.750
```

Summary:
SG: No. 216
Total magnetic moment: 0.01 μB per formula unit
Formation energy from the elements: 23.7 kJ per mole of atoms
Volume: 65.3 Å³ per cell

# 3
Here is LuNiAg after structural relaxation from the Open Quantum Materials Database. Energies are from PBE-GGA.

```
LuNiAg
1.0
0.000 3.153 3.153
3.153 0.000 3.153
3.153 3.153 0.000
Ag Lu Ni
1 1 1
Direct
0.000 0.000 0.000
0.250 0.250 0.250
0.750 0.750 0.750
```

Summary:
SG: No. 216
Total magnetic moment: 0.00 μB per formula unit
Formation energy from the elements: 8.3 kJ per mole of atoms
Volume: 62.7 Å³ per cell